This record from Alexandria describes crystalline SrTa3Te at its relaxed geometry. The functional is PBE-GGA.

**E_form (uncorrected)**: 2.7974 eV per atom
**Theoretical density**: 10.13 Mg/m³
**Excess energy over the best structure of this formula in the dataset**: 1352 meV/atom
**E**: -26.39 eV per cell

a = 4.990 Å, b = 4.990 Å, c = 4.990 Å
α = 90.00°, β = 90.00°, γ = 90.00°
Sites, in units of the cell vectors:
Sr: 0.000 0.000 0.000
Ta: 0.000 0.000 0.500
Ta: 0.000 0.500 0.000
Ta: 0.500 0.000 0.000
Te: 0.500 0.500 0.500

=====

This record from Alexandria describes crystalline Sr2TaTe2 at its relaxed geometry. The functional is PBE-GGA.

**E_form (uncorrected)**: 0.3598 eV per atom
**Theoretical density**: 5.60 Mg/m³
**Excess energy over the best structure of this formula in the dataset**: 360 meV/atom
**E**: -19.70 eV per cell

a = 9.579 Å, b = 9.579 Å, c = 9.579 Å
α = 152.97°, β = 152.97°, γ = 38.60°
Sites, in units of the cell vectors:
Sr: 0.107 0.107 0.000
Sr: 0.893 0.893 0.000
Ta: 0.500 0.500 0.000
Te: 0.250 0.750 0.500
Te: 0.750 0.250 0.500

=====

This record from Alexandria describes crystalline SrTaTe3 at its relaxed geometry. The functional is PBE-GGA.

**E_form (uncorrected)**: 1.3605 eV per atom
**Theoretical density**: 5.31 Mg/m³
**Excess energy over the best structure of this formula in the dataset**: 1821 meV/atom
**E**: -16.16 eV per cell

a = 5.883 Å, b = 5.883 Å, c = 5.883 Å
α = 90.00°, β = 90.00°, γ = 90.00°
Sites, in units of the cell vectors:
Sr: 0.000 0.000 0.000
Ta: 0.500 0.500 0.500
Te: 0.000 0.000 0.500
Te: 0.000 0.500 0.000
Te: 0.500 0.000 0.000

=====

This record from Alexandria describes crystalline SrTaTe3 at its relaxed geometry. The functional is PBE-GGA.

**E_form (uncorrected)**: -0.4602 eV per atom
**Theoretical density**: 6.50 Mg/m³
**Excess energy over the best structure of this formula in the dataset**: 0 meV/atom
**E**: -25.26 eV per cell

a = 5.501 Å, b = 5.501 Å, c = 5.501 Å
α = 90.00°, β = 90.00°, γ = 90.00°
Sites, in units of the cell vectors:
Sr: 0.000 0.000 0.000
Ta: 0.500 0.500 0.500
Te: 0.000 0.500 0.500
Te: 0.500 0.000 0.500
Te: 0.500 0.500 0.000

=====

This record from Alexandria describes crystalline SrTa4Te at its relaxed geometry. The functional is PBE-GGA.

**E_form (uncorrected)**: 0.6527 eV per atom
**Theoretical density**: 11.33 Mg/m³
**E**: -48.32 eV per cell

a = 5.796 Å, b = 5.796 Å, c = 5.796 Å
α = 60.00°, β = 60.00°, γ = 60.00°
Sites, in units of the cell vectors:
Sr: 0.000 0.000 0.000
Ta: 0.107 0.631 0.631
Ta: 0.631 0.107 0.631
Ta: 0.631 0.631 0.107
Ta: 0.631 0.631 0.631
Te: 0.250 0.250 0.250

=====

This record from Alexandria describes crystalline Sr2TaTe2 at its relaxed geometry. The functional is PBE-GGA.

**E_form (uncorrected)**: -0.0002 eV per atom
**Theoretical density**: 6.13 Mg/m³
**Excess energy over the best structure of this formula in the dataset**: 0 meV/atom
**E**: -43.00 eV per cell

a = 8.992 Å, b = 8.992 Å, c = 4.095 Å
α = 90.00°, β = 90.00°, γ = 90.00°
Sites, in units of the cell vectors:
Sr: 0.143 0.357 0.000
Sr: 0.357 0.857 0.000
Sr: 0.643 0.143 0.000
Sr: 0.857 0.643 0.000
Ta: 0.000 0.000 0.000
Ta: 0.500 0.500 0.000
Te: 0.163 0.663 0.500
Te: 0.337 0.163 0.500
Te: 0.663 0.837 0.500
Te: 0.837 0.337 0.500

=====

This record from Alexandria describes crystalline SrTaTe4 at its relaxed geometry. The functional is PBE-GGA.

**E_form (uncorrected)**: 0.6009 eV per atom
**Theoretical density**: 7.06 Mg/m³
**E**: -22.50 eV per cell

a = 6.377 Å, b = 6.377 Å, c = 6.377 Å
α = 60.00°, β = 60.00°, γ = 60.00°
Sites, in units of the cell vectors:
Sr: 0.000 0.000 0.000
Ta: 0.750 0.750 0.750
Te: 0.376 0.376 0.376
Te: 0.376 0.376 0.873
Te: 0.376 0.873 0.376
Te: 0.873 0.376 0.376

=====

This record from Alexandria describes crystalline SrTa3Te at its relaxed geometry. The functional is PBE-GGA.

**E_form (uncorrected)**: 1.4455 eV per atom
**Theoretical density**: 9.22 Mg/m³
**Excess energy over the best structure of this formula in the dataset**: 0 meV/atom
**E**: -33.15 eV per cell

a = 5.149 Å, b = 5.149 Å, c = 5.149 Å
α = 90.00°, β = 90.00°, γ = 90.00°
Sites, in units of the cell vectors:
Sr: 0.000 0.000 0.000
Ta: 0.000 0.500 0.500
Ta: 0.500 0.000 0.500
Ta: 0.500 0.500 0.000
Te: 0.500 0.500 0.500